# 1
Tl2InCu (PBE, relaxed); energy relative to the elements = 230 meV per atom
1.0
-0.7945 -3.5999 -1.8999
3.8448 -0.8047 -0.0831
1.8012 -3.3108 5.5199
Cu In Tl
1 1 2
Direct
0.5000 0.2500 0.2500 Cu
0.5000 0.7500 0.7500 In
0.0000 0.0741 0.0251 Tl
0.0000 0.4259 0.4749 Tl

=====

# 2
TlInCu2 (PBE, relaxed); energy above the lowest structure with this stoichiometry = 79 meV/atom; energy relative to the elements = 232 meV per atom
1.0
-3.8694 -0.9776 2.7196
-4.0430 -2.6058 -0.4335
1.3994 -4.3020 2.1444
Tl Cu In
1 2 1
Direct
0.2595 0.2595 0.2081 Tl
0.0155 0.0155 0.9577 Cu
0.7414 0.7414 0.7712 Cu
0.4836 0.4836 0.5630 In

=====

# 3
Tl2In2Cu (PBE, relaxed); energy above the lowest structure with this stoichiometry = 104 meV/atom; energy relative to the elements = 247 meV per atom
1.0
-3.1431 -5.6492 -2.9319
-1.0910 -2.7433 6.4554
-4.8208 2.5440 0.2664
In Tl Cu
4 4 2
Direct
0.6622 0.8378 0.5000 In
0.8378 0.3378 0.5000 In
0.1621 0.6622 0.5000 In
0.3378 0.1621 0.5000 In
0.8402 0.6598 0.0000 Tl
0.3402 0.8402 0.0000 Tl
0.6598 0.1598 0.0000 Tl
0.1598 0.3402 0.0000 Tl
0.5000 0.5000 0.0000 Cu
0.0000 0.0000 0.0000 Cu

=====

# 4
TlInCu2 (PBE, relaxed); energy above the lowest structure with this stoichiometry = 84 meV/atom; energy relative to the elements = 237 meV per atom
1.0
-1.0514 4.5427 1.5127
-3.0850 3.5753 -1.3155
-5.4697 1.5082 3.4170
Cu In Tl
2 1 1
Direct
0.9870 0.9870 0.8863 Cu
0.5130 0.5130 0.6137 Cu
0.7500 0.7500 0.7500 In
0.2500 0.2500 0.2500 Tl